[1]
DFT (PBE) results for crystalline BaZrCl2 at its relaxed geometry.

a = 7.903 Å, b = 7.903 Å, c = 7.903 Å
α = 90.00°, β = 90.00°, γ = 90.00°
Space group F-43m (No. 216)
Inequivalent atoms, fractional coordinates:
Ba (0.000, 0.000, 0.000) x4
Zr (0.250, 0.250, 0.250) x4
Cl (0.000, 0.000, 0.500) x4
Cl (0.250, 0.250, 0.750) x4

## Properties
Formation energy without anion corrections: -0.200 eV/atom
Polymorph energy (0 for the lowest one): 862.6 meV per atom
Spin magnetization: 1.00 μB per atom
Uncorrected energy: -3.7411 eV/atom
Calculated volume: 493.6 Å³/cell


[2]
DFT (PBE) results for crystalline CeBi3Pd12 at its relaxed geometry.

a = 4.157 Å, b = 4.157 Å, c = 16.468 Å
α = 90.00°, β = 90.00°, γ = 90.00°
Space group P4/mmm (No. 123)
Inequivalent atoms, fractional coordinates:
Ce (0.000, 0.000, 0.000) x1
Bi (0.000, 0.000, 0.252) x2
Bi (0.000, 0.000, 0.500) x1
Pd (0.000, 0.500, 0.123) x4
Pd (0.000, 0.500, 0.375) x4
Pd (0.500, 0.500, 0.000) x1
Pd (0.500, 0.500, 0.251) x2
Pd (0.500, 0.500, 0.500) x1

## Properties
Energy relative to the elements: -377 meV/atom
Spin magnetization: 0.02 μB per atom
Uncorrected energy: -5.3706 eV/atom
Calculated volume: 284.6 Å³/cell


[3]
DFT (PBE) results for crystalline LaTaMo2 at its relaxed geometry.

a = 8.645 Å, b = 3.204 Å, c = 6.016 Å
α = 90.00°, β = 96.52°, γ = 90.00°
Space group C2/m (No. 12)
Inequivalent atoms, fractional coordinates:
La (0.000, 0.000, 0.000) x2
Ta (0.000, 0.500, 0.500) x2
Mo (0.230, 0.000, 0.700) x4

## Properties
Polymorph energy (0 for the lowest one): 252.3 meV per atom
Energy relative to the elements: 542 meV/atom
Spin magnetization: 0.00 μB per atom
Uncorrected energy: -9.0691 eV/atom
Calculated volume: 165.5 Å³/cell


[4]
DFT (PBE) results for crystalline Ac6Pt3Rh2 at its relaxed geometry.

a = 4.3619 Å, b = 4.3619 Å, c = 63.3311 Å
α = 90.00°, β = 90.00°, γ = 120.00°
Space group R-3m (No. 166, hexagonal axes)
Inequivalent atoms, fractional coordinates:
Ac (0.0000, 0.0000, 0.0855) x6
Ac (0.0000, 0.0000, 0.1956) x6
Ac (0.0000, 0.0000, 0.3619) x6
Pt (0.0000, 0.0000, 0.0000) x3
Pt (0.0000, 0.0000, 0.2764) x6
Rh (0.0000, 0.0000, 0.4475) x6

## Properties
Energy relative to the elements: -914 meV/atom
Spin magnetization: 0.00 μB per atom
Uncorrected energy: -6.1390 eV/atom
Calculated volume: 1043.5 Å³/cell


[5]
DFT (PBE) results for crystalline K3MgIr at its relaxed geometry.

a = 6.192 Å, b = 6.192 Å, c = 6.192 Å
α = 90.00°, β = 90.00°, γ = 90.00°
Space group Pm-3m (No. 221)
Inequivalent atoms, fractional coordinates:
K (0.000, 0.000, 0.500) x3
Mg (0.500, 0.500, 0.500) x1
Ir (0.000, 0.000, 0.000) x1

## Properties
Polymorph energy (0 for the lowest one): 0.0 meV per atom
Energy relative to the elements: 780 meV/atom
Spin magnetization: 0.02 μB per atom
Uncorrected energy: -1.9692 eV/atom
Calculated volume: 237.4 Å³/cell


[6]
DFT (PBE) results for crystalline MgCuAg2I at its relaxed geometry.

a = 5.053 Å, b = 5.053 Å, c = 5.764 Å
α = 90.00°, β = 90.00°, γ = 90.00°
Space group P4/mmm (No. 123)
Inequivalent atoms, fractional coordinates:
Mg (0.000, 0.000, 0.000) x1
Cu (0.500, 0.500, 0.500) x1
Ag (0.000, 0.500, 0.000) x2
I (0.000, 0.000, 0.500) x1

## Properties
Formation energy without anion corrections: 0.766 eV/atom
Spin magnetization: 0.00 μB per atom
Uncorrected energy: -1.8227 eV/atom
Calculated volume: 147.2 Å³/cell


[7]
DFT (PBE) results for crystalline Ta2SnSb2 at its relaxed geometry.

a = 7.797 Å, b = 7.797 Å, c = 3.591 Å
α = 90.00°, β = 90.00°, γ = 90.00°
Space group P4/mbm (No. 127)
Inequivalent atoms, fractional coordinates:
Ta (0.143, 0.357, 0.000) x4
Sn (0.000, 0.000, 0.000) x2
Sb (0.148, 0.648, 0.500) x4

## Properties
Formation energy without anion corrections: 0.140 eV/atom
Spin magnetization: 0.00 μB per atom
Uncorrected energy: -7.0505 eV/atom
Calculated volume: 218.3 Å³/cell


[8]
DFT (PBE) results for crystalline LiSiGeIr at its relaxed geometry.

a = 6.038 Å, b = 6.038 Å, c = 6.038 Å
α = 90.00°, β = 90.00°, γ = 90.00°
Space group F-43m (No. 216)
Inequivalent atoms, fractional coordinates:
Li (0.000, 0.000, 0.000) x4
Si (0.250, 0.250, 0.250) x4
Ge (0.250, 0.250, 0.750) x4
Ir (0.000, 0.000, 0.500) x4

## Properties
Formation energy without anion corrections: -0.357 eV/atom
Spin magnetization: 0.00 μB per atom
Uncorrected energy: -5.5603 eV/atom
Calculated volume: 220.1 Å³/cell


[9]
DFT (PBE) results for crystalline Mg2NbRe2 at its relaxed geometry.

a = 3.587 Å, b = 3.587 Å, c = 14.112 Å
α = 90.00°, β = 90.00°, γ = 90.00°
Space group I4/mmm (No. 139)
Inequivalent atoms, fractional coordinates:
Mg (0.000, 0.500, 0.250) x4
Nb (0.000, 0.000, 0.000) x2
Re (0.000, 0.000, 0.412) x4

## Properties
Polymorph energy (0 for the lowest one): 226.0 meV per atom
Energy relative to the elements: 719 meV/atom
Spin magnetization: 0.00 μB per atom
Uncorrected energy: -6.9121 eV/atom
Calculated volume: 181.6 Å³/cell


[10]
DFT (PBE) results for crystalline SnSeI2 at its relaxed geometry.

a = 8.605 Å, b = 8.605 Å, c = 7.482 Å
α = 90.00°, β = 90.00°, γ = 90.00°
Space group I-42d (No. 122)
Inequivalent atoms, fractional coordinates:
Sn (0.000, 0.000, 0.000) x4
Se (0.000, 0.000, 0.500) x4
I (0.239, 0.250, 0.125) x8

## Properties
Formation energy without anion corrections: 0.218 eV/atom
Polymorph energy (0 for the lowest one): 0.0 meV per atom
Spin magnetization: 0.00 μB per atom
Uncorrected energy: -2.4286 eV/atom
Calculated volume: 554.0 Å³/cell


[11]
DFT (PBE) results for crystalline CaPdC3 at its relaxed geometry.

a = 4.122 Å, b = 4.122 Å, c = 4.122 Å
α = 90.00°, β = 90.00°, γ = 90.00°
Space group Pm-3m (No. 221)
Inequivalent atoms, fractional coordinates:
Ca (0.000, 0.000, 0.000) x1
Pd (0.500, 0.500, 0.500) x1
C (0.000, 0.500, 0.500) x3

## Properties
Polymorph energy (0 for the lowest one): 0.0 meV per atom
Energy relative to the elements: 1960 meV/atom
Spin magnetization: 0.00 μB per atom
Uncorrected energy: -5.0130 eV/atom
Calculated volume: 70.0 Å³/cell


[12]
DFT (PBE) results for crystalline Pm3I at its relaxed geometry.

a = 7.0493 Å, b = 7.0493 Å, c = 5.7699 Å
α = 90.00°, β = 90.00°, γ = 120.00°
Space group P6_3/mmc (No. 194)
Inequivalent atoms, fractional coordinates:
Pm (0.1661, 0.3322, 0.2500) x6
I (0.3333, 0.6667, 0.7500) x2

## Properties
Formation energy without anion corrections: -0.108 eV/atom
Polymorph energy (0 for the lowest one): 0.0 meV per atom
Spin magnetization: 0.00 μB per atom
Uncorrected energy: -4.0585 eV/atom
Calculated volume: 248.3 Å³/cell


[13]
DFT (PBE) results for crystalline Cu3Ru at its relaxed geometry.

a = 7.418 Å, b = 7.440 Å, c = 3.677 Å
α = 90.00°, β = 90.00°, γ = 90.00°
Space group Cmcm (No. 63)
Inequivalent atoms, fractional coordinates:
Cu (0.000, 0.123, 0.250) x4
Cu (0.240, 0.130, 0.750) x8
Ru (0.000, 0.390, 0.750) x4

## Properties
Energy relative to the elements: 199 meV/atom
Spin magnetization: 0.11 μB per atom
Uncorrected energy: -5.1923 eV/atom
Calculated volume: 202.9 Å³/cell